No. 1
PBE BiRu3Pb, relaxed; formation energy = 1.717 eV per atom
1.0
5.039 0.000 0.000
0.000 5.039 0.000
0.000 0.000 5.039
Bi Ru Pb
1 3 1
direct
0.000 0.000 0.000
0.000 0.000 0.500
0.000 0.500 0.000
0.500 0.000 0.000
0.500 0.500 0.500

=====

No. 2
PBE SrVAu, relaxed; formation energy = 0.057 eV per atom
1.0
7.342 0.000 0.000
0.000 4.376 0.000
0.000 0.000 9.113
Sr V Au
4 4 4
direct
0.092 0.250 0.158
0.408 0.750 0.658
0.592 0.250 0.342
0.908 0.750 0.842
0.034 0.250 0.544
0.466 0.750 0.044
0.534 0.250 0.956
0.966 0.750 0.456
0.215 0.250 0.827
0.285 0.750 0.327
0.715 0.250 0.673
0.785 0.750 0.173

=====

No. 3
The following is a PBE calculation of a geometry-optimized Ta2CrHIr structure, from Alexandria.

The structure in POSCAR format:
```
Ta2CrHIr
1.0
4.304 0.000 0.000
0.000 4.304 0.000
0.000 0.000 3.557
Ta Cr H Ir
2 1 1 1
direct
0.000 0.500 0.000
0.500 0.000 0.000
0.000 0.000 0.500
0.500 0.500 0.000
0.500 0.500 0.500
```

=====

No. 4
PBE NaAc2Hg4, relaxed; formation energy = -0.298 eV per atom
1.0
2.628 1.518 9.491
-2.628 1.518 9.491
0.000 -3.035 9.491
Na Ac Hg
1 2 4
direct
0.000 0.000 0.000
0.249 0.249 0.249
0.751 0.751 0.751
0.133 0.133 0.133
0.367 0.367 0.367
0.633 0.633 0.633
0.867 0.867 0.867

=====

No. 5
PBE Be2GaCu3, relaxed; formation energy = -0.090 eV per atom
1.0
2.761 0.000 0.000
0.000 2.761 0.000
0.000 0.000 8.710
Be Ga Cu
2 1 3
direct
0.000 0.000 0.146
0.000 0.000 0.854
0.000 0.000 0.500
0.500 0.500 0.000
0.500 0.500 0.299
0.500 0.500 0.701

=====

No. 6
PBE MgNbO3, relaxed; raw formation energy = -6.43 eV per formula unit
1.0
3.688 0.000 0.000
0.000 3.688 0.000
0.000 0.000 3.688
Mg Nb O
1 1 3
direct
0.000 0.000 0.000
0.500 0.500 0.500
0.000 0.000 0.500
0.000 0.500 0.000
0.500 0.000 0.000

=====

No. 7
PBE YFe2Pt, relaxed; formation energy = 0.044 eV per atom
1.0
2.746 -4.493 0.000
2.746 4.493 0.000
-1.185 0.000 2.686
Y Fe Pt
1 2 1
direct
0.000 0.000 0.000
0.000 0.500 0.500
0.500 0.000 0.500
0.500 0.500 0.000

=====

No. 8
PBE Pr4SnGeTe2, relaxed; raw formation energy = -9.30 eV per formula unit
1.0
-3.178 3.178 6.398
3.178 -3.178 6.398
3.178 3.178 -6.398
Pr Sn Ge Te
4 1 1 2
direct
0.239 0.239 0.000
0.502 0.002 0.500
0.761 0.761 0.000
0.998 0.498 0.500
0.750 0.250 0.500
0.000 0.000 0.000
0.250 0.750 0.500
0.500 0.500 0.000

=====

no.,total DFT energy (no corrections) (eV per cell)
1,-26.8
2,-55.6
3,-46.0
4,-12.8
5,-23.3
6,-33.0
7,-29.3
8,-43.3